# Ba3CoIr2O9, relaxed, DFT PBE with a Hubbard U
# - magnetic moment (μB/f.u.) = 6.9
# - raw total energy (eV/atom) = -6.527
data_Ba3CoIr2O9
_chemical_formula_sum 'Ba6 Co2 Ir4 O18'
_symmetry_space_group_name_H-M 'P 63/m m c'
_symmetry_Int_Tables_number 194
_symmetry_space_group_name_Hall '-P 6c 2c'
_cell_length_a 5.8209
_cell_length_b 5.8209
_cell_length_c 14.3787
_cell_angle_alpha 90.00
_cell_angle_beta 90.00
_cell_angle_gamma 120.00
loop_
_atom_site_label
_atom_site_type_symbol
_atom_site_fract_x
_atom_site_fract_y
_atom_site_fract_z
_atom_site_occupancy
Ba1 Ba 0.0000 0.0000 0.2500 1
Ba2 Ba 0.3333 0.6667 0.0860 1
Co1 Co 0.0000 0.0000 0.0000 1
Ir1 Ir 0.3333 0.6667 0.6552 1
O1 O 0.0291 0.5145 0.7500 1
O2 O 0.1687 0.3374 0.5806 1